(i)
A relaxed Zr2ReH crystal, computed with GGA-PBE.

- D(E_F) (states/eV per atom) = 0.75

a = 3.2520 Å, b = 3.2520 Å, c = 7.0763 Å
α = 76.72°, β = 76.72°, γ = 60.00°
Fractional positions:
Zr1 0.2648 0.2648 0.2056
Re1 0.5000 0.5000 0.5000
Zr2 0.7352 0.7352 0.7944
H1 0.0000 0.0000 0.0000

=====

(ii)
A relaxed Zr2ReH crystal, computed with GGA-PBE.

- D(E_F) (states/eV per atom) = 0.84

a = 6.2553 Å, b = 6.2553 Å, c = 5.5240 Å
α = 55.52°, β = 55.52°, γ = 90.00°
Fractional positions:
Re1 0.0000 0.0000 0.0000
Re2 0.7500 0.2500 0.5000
H1 0.5000 0.5000 0.0000
Zr1 0.8750 0.7978 0.7500
H2 0.2500 0.7500 0.5000
Zr2 0.3750 0.4522 0.7500
Zr3 0.2022 0.6250 0.2500
Zr4 0.5478 0.1250 0.2500

=====

(iii)
A relaxed Zr2ReH crystal, computed with GGA-PBE.

- D(E_F) (states/eV per atom) = 0.96

a = 4.5573 Å, b = 4.5573 Å, c = 4.5573 Å
α = 60.00°, β = 60.00°, γ = 60.00°
Fractional positions:
Re1 0.5000 0.5000 0.5000
Zr1 0.7500 0.7500 0.7500
Zr2 0.2500 0.2500 0.2500
H1 0.0000 0.0000 0.0000

=====

Ranked by calculated energy, most stable first: (i), (ii), (iii).

=====

(i)
A relaxed H3Rh2 crystal, computed with GGA-PBE.

- D(E_F) (states/eV per atom) = 0.70

a = 2.7298 Å, b = 6.8794 Å, c = 8.9329 Å
α = 49.19°, β = 90.00°, γ = 101.44°
Fractional positions:
Rh1 0.6865 0.3730 0.4524
Rh2 0.0373 0.0746 0.8161
H1 0.8311 0.6623 0.1997
Rh3 0.9627 0.9254 0.1839
H2 0.4842 0.9683 0.4008
H3 0.1562 0.3124 0.3198
H4 0.8438 0.6876 0.6802
Rh4 0.3135 0.6270 0.5476
H5 0.5000 0.0000 0.0000
H6 0.8509 0.7017 0.9535
Rh5 0.6447 0.2894 0.1882
H7 0.1491 0.2983 0.0465
Rh6 0.3553 0.7106 0.8118
H8 0.5158 0.0317 0.5992
H9 0.1689 0.3377 0.8003

=====

(ii)
A relaxed H3Rh2 crystal, computed with GGA-PBE.

- D(E_F) (states/eV per atom) = 0.59

a = 4.9810 Å, b = 4.6844 Å, c = 4.6221 Å
α = 64.12°, β = 57.40°, γ = 57.88°
Fractional positions:
H1 0.5421 0.9920 0.7389
Rh1 0.3683 0.3780 0.3761
H2 0.9735 0.2500 0.7500
H3 0.0265 0.7500 0.2500
Rh2 0.8776 0.8780 0.8761
H4 0.2730 0.5080 0.7611
Rh3 0.1224 0.1220 0.1239
H5 0.7270 0.4920 0.2389
H6 0.4579 0.0080 0.2611
Rh4 0.6317 0.6220 0.6239

=====

Ranked by calculated energy, most stable first: (ii), (i).

=====

(i)
A relaxed H2RuRh crystal, computed with GGA-PBE.

- D(E_F) (states/eV per atom) = 0.55

a = 2.8059 Å, b = 2.8059 Å, c = 5.1829 Å
α = 74.29°, β = 74.29°, γ = 60.00°
Fractional positions:
Rh1 0.6766 0.6766 0.9702
H1 0.2427 0.2427 0.2719
H2 0.0820 0.0820 0.7540
Ru1 0.4987 0.4987 0.5039

=====

(ii)
A relaxed H2RuRh crystal, computed with GGA-PBE.

- D(E_F) (states/eV per atom) = 1.17

a = 4.1250 Å, b = 4.1250 Å, c = 5.0636 Å
α = 65.96°, β = 65.96°, γ = 90.00°
Fractional positions:
Rh1 0.0000 0.0000 0.0000
H1 0.1199 0.6250 0.2500
H2 0.6301 0.1250 0.2500
H3 0.8750 0.8801 0.7500
Rh2 0.7500 0.2500 0.5000
H4 0.3750 0.3699 0.7500
Ru1 0.2500 0.7500 0.5000
Ru2 0.5000 0.5000 0.0000

=====

Ranked by calculated energy, most stable first: (i), (ii).

=====

(i)
A relaxed H2RuRh crystal, computed with GGA-PBE.

- D(E_F) (states/eV per atom) = 0.76

a = 2.8702 Å, b = 2.8702 Å, c = 5.2817 Å
α = 74.23°, β = 74.23°, γ = 60.00°
Last column: magnetic moment on the atom in μB.
Fractional positions:
Rh1 0.5000 0.5000 0.5000  0.32
H1 0.1177 0.1177 0.6469  0.00
H2 0.8823 0.8823 0.3531  0.00
Ru1 0.0000 0.0000 0.0000  0.95

=====

(ii)
A relaxed H2RuRh crystal, computed with GGA-PBE.

- D(E_F) (states/eV per atom) = 1.20

a = 3.6956 Å, b = 3.6956 Å, c = 3.6956 Å
α = 60.00°, β = 60.00°, γ = 60.00°
Fractional positions:
Rh1 0.5000 0.5000 0.5000
H1 0.2500 0.2500 0.2500
H2 0.7500 0.7500 0.7500
Ru1 0.0000 0.0000 0.0000

=====

Ranked by calculated energy, most stable first: (i), (ii).

=====

(i)
A relaxed H3RuRh crystal, computed with GGA-PBE.

- D(E_F) (states/eV per atom) = 0.49

a = 3.3985 Å, b = 3.3985 Å, c = 3.3985 Å
α = 90.00°, β = 90.00°, γ = 90.00°
Last column: magnetic moment on the atom in μB.
Fractional positions:
Ru1 0.5000 0.5000 0.5000  1.07
H1 0.5000 0.0000 0.0000  -0.01
H2 0.0000 0.5000 0.0000  -0.01
H3 0.0000 0.0000 0.5000  0.00
Rh1 0.0000 0.0000 0.0000  0.08

=====

(ii)
A relaxed H3RuRh crystal, computed with GGA-PBE.

- D(E_F) (states/eV per atom) = 0.36

a = 3.3928 Å, b = 3.3928 Å, c = 3.3928 Å
α = 90.00°, β = 90.00°, γ = 90.00°
Fractional positions:
H1 0.5000 0.0000 0.0000
H2 0.0000 0.0000 0.5000
Rh1 0.5000 0.5000 0.5000
Ru1 0.0000 0.0000 0.0000
H3 0.0000 0.5000 0.0000

=====

Ranked by calculated energy, most stable first: (ii), (i).

=====

(i)
A relaxed ScHRuRh2 crystal, computed with GGA-PBE.

- D(E_F) (states/eV per atom) = 1.00

a = 3.9079 Å, b = 3.9079 Å, c = 4.1123 Å
α = 90.00°, β = 90.00°, γ = 90.00°
Fractional positions:
Sc1 0.0000 0.0000 0.5000
H1 0.0000 0.0000 0.0000
Ru1 0.5000 0.5000 0.5000
Rh1 0.5000 0.0000 0.0000
Rh2 0.0000 0.5000 0.0000

=====

(ii)
A relaxed ScHRuRh2 crystal, computed with GGA-PBE.

- D(E_F) (states/eV per atom) = 0.85

a = 3.9765 Å, b = 3.9765 Å, c = 3.9828 Å
α = 90.00°, β = 90.00°, γ = 90.00°
Fractional positions:
Ru1 0.0000 0.0000 0.5000
Rh1 0.0000 0.5000 0.0000
Rh2 0.5000 0.0000 0.0000
Sc1 0.5000 0.5000 0.5000
H1 0.0000 0.0000 0.0000

=====

Ranked by calculated energy, most stable first: (ii), (i).